A relaxed Pm3Hg3Pd2 crystal. Source: Alexandria via LeMat-Bulk, functional GGA-PBE.

Results
Excess energy over the best structure of this formula in the dataset, eV/atom: 0.0000
Formation energy, eV/atom: -0.66

Unit cell a=3.8369 b=7.6970 c=7.6970 alpha=120.00 beta=90.00 gamma=90.00
Positions (direct):
Pm (0.5000, 0.0000, 0.5922)
Pm (0.5000, 0.5922, 0.0000)
Pm (0.5000, 0.4078, 0.4078)
Hg (0.0000, 0.0000, 0.2380)
Hg (0.0000, 0.2380, 0.0000)
Hg (0.0000, 0.7620, 0.7620)
Pd (0.0000, 0.6667, 0.3333)
Pd (0.0000, 0.3333, 0.6667)